An optimized crystal structure of MnTl3V2O8, computed with GGA+U.

Computed properties:
D(E_F) ... 0.438 states/eV per atom
VASP energy ... -6.39 eV/atom

Geometry as POSCAR:
```
MnTl3V2O8
1.0
5.852 0.000 0.000
-2.926 5.068 0.000
0.000 0.000 7.731
O Tl V Mn
8 3 2 1
direct
0.167 0.333 0.342
0.333 0.167 0.658
0.833 0.167 0.658
0.667 0.833 0.342
0.333 0.667 0.055
0.833 0.667 0.658
0.667 0.333 0.945
0.167 0.833 0.342
0.333 0.667 0.722
0.000 0.000 0.000
0.667 0.333 0.278
0.667 0.333 0.726
0.333 0.667 0.274
0.000 0.000 0.500
```